Density functional theory data (PBE) for crystalline La2Tb2NdMg5 at its relaxed geometry.

Values from the calculation:
formation energy	0.00	eV per atom
volume	594	Å³/cell
M_tot	0.00	μB/f.u.

a = 10.706 Å, b = 10.706 Å, c = 5.181 Å
α = 90.00°, β = 90.00°, γ = 90.00°
Space group P4/mbm (No. 127)
Asymmetric unit:
La 0.176 0.324 0.000 (multiplicity 4)
Tb 0.121 0.621 0.000 (multiplicity 4)
Nd 0.000 0.000 0.000 (multiplicity 2)
Mg 0.000 0.500 0.500 (multiplicity 2)
Mg 0.074 0.801 0.500 (multiplicity 8)

=====

Density functional theory data (PBE) for crystalline LaTb2Nd6Mg at its relaxed geometry.

Values from the calculation:
formation energy	0.10	eV per atom
volume	1358	Å³/cell
M_tot	0.00	μB/f.u.

a = 10.389 Å, b = 13.856 Å, c = 9.621 Å
α = 90.00°, β = 101.24°, γ = 90.00°
Space group C2/c (No. 15)
Asymmetric unit:
La 0.000 0.065 0.250 (multiplicity 4)
Tb 0.236 0.033 0.594 (multiplicity 8)
Nd 0.053 0.383 0.096 (multiplicity 8)
Nd 0.093 0.173 0.925 (multiplicity 8)
Nd 0.247 0.215 0.330 (multiplicity 8)
Mg 0.000 0.401 0.750 (multiplicity 4)

=====

Density functional theory data (PBE) for crystalline La2TbNd2Mg5 at its relaxed geometry.

Values from the calculation:
formation energy	0.00	eV per atom
volume	597	Å³/cell
M_tot	0.00	μB/f.u.

a = 10.740 Å, b = 10.740 Å, c = 5.179 Å
α = 90.00°, β = 90.00°, γ = 90.00°
Space group P4/mbm (No. 127)
Asymmetric unit:
La 0.174 0.326 0.000 (multiplicity 4)
Tb 0.000 0.000 0.000 (multiplicity 2)
Nd 0.124 0.624 0.000 (multiplicity 4)
Mg 0.000 0.500 0.500 (multiplicity 2)
Mg 0.072 0.806 0.500 (multiplicity 8)